VASP calculation (GGA+U) on an optimized crystal structure of CsNaMnO4.

Lattice parameters (Å, degrees): 6.2717 6.2717 6.2717 60.00 60.00 60.00
Positions (direct):
O 0.3582 0.3582 0.9253
O 0.3582 0.3582 0.3582
O 0.3582 0.9253 0.3582
O 0.9253 0.3582 0.3582
Mn 0.2500 0.2500 0.2500
Cs 0.7500 0.7500 0.7500
Na 0.5000 0.5000 0.5000

Calculated values
* size of the total moment: 1.00 μB/cell
* total energy: -37.96 eV/f.u.